Here is a geometry-optimized Pm2Pr6Hg structure from Alexandria via LeMat-Bulk. Energies are from PBE.

Calculated values
magnetic moment: 0.00 μB/cell
excess energy over the best structure of this formula in the dataset: 0.000 eV/f.u.
formation enthalpy at 0 K: -0.094 eV per atom
space group: P-62m (189)
uncorrected energy: -39.3 eV/cell

Lattice parameters (Å, degrees): 3.782 9.757 9.755 120.00 90.00 90.00
Sites, in units of the cell vectors:
Pr (0.500, 0.000, 0.621)
Pr (0.000, 0.000, 0.270)
Pr (0.500, 0.621, 0.000)
Pr (0.500, 0.379, 0.379)
Pr (0.000, 0.270, 0.000)
Pr (0.000, 0.730, 0.730)
Pm (0.000, 0.667, 0.333)
Pm (0.000, 0.333, 0.667)
Hg (0.500, 0.000, 0.000)